Here is crystalline CoSb2Br at its relaxed geometry from the Alexandria database. Energies are from PBEsol.

a = 3.857 Å, b = 3.862 Å, c = 8.105 Å
α = 103.65°, β = 90.00°, γ = 119.96°
Fractional positions:
Br1 0.000 0.000 0.000
Sb1 0.882 0.763 0.648
Sb2 0.118 0.237 0.352
Co1 0.500 0.000 0.500

Properties
Its space group is C2/m (12). The value obtained for the excess energy over the best structure of this formula in the dataset is 0.000 eV/atom. The value obtained for the formation energy from raw total energies is -0.153 eV/atom.